Entry 1:
# CoMoO2

An optimized crystal structure of CoMoO2 (GGA-PBEsol, the Alexandria database).

Computed properties:
- Space-group type: No. 166
- Energy: -8.33 eV per atom
- Uncorrected formation energy: -19.0 kcal/mol of atoms

Cell: 6.3136 6.3136 6.3136 Å, 25.36 25.36 25.36°
With the nearest neighbours (Å) after each atom.
Element x y z (fractional)
Co  0.0000  0.0000  0.0000  6 O 1.89
Mo  0.5000  0.5000  0.5000  2 O 2.04
O  0.3886  0.3886  0.3886  3 Co 1.89, 1 Mo 2.04
O  0.6114  0.6114  0.6114  3 Co 1.89, 1 Mo 2.04


Entry 2:
# CoTeMoO6

An optimized crystal structure of CoTeMoO6 (GGA-PBEsol, the Alexandria database).

Computed properties:
- Space-group type: No. 18
- Energy: -7.40 eV per atom
- Uncorrected formation energy: -30.9 kcal/mol of atoms

Cell: 5.0145 5.2056 8.7098 Å, 90.00 90.00 90.00°
With the nearest neighbours (Å) after each atom.
Element x y z (fractional)
Co  0.0000  0.0000  0.0261  6 O 2.04-2.15
Co  0.5000  0.5000  0.9739  6 O 2.04-2.15
Te  0.0000  0.5000  0.2528  4 O 1.94-2.09
Te  0.5000  0.0000  0.7472  4 O 1.94-2.09
Mo  0.0000  0.5000  0.6948  4 O 1.71-1.86
Mo  0.5000  0.0000  0.3052  4 O 1.71-1.86
O  0.1529  0.2859  0.5742  1 Mo 1.71
O  0.2265  0.6821  0.1092  1 Te 1.94, 2 Co 2.04-2.13
O  0.2360  0.1802  0.2018  1 Mo 1.86
O  0.2640  0.6802  0.7982  1 Mo 1.86
O  0.2735  0.1821  0.8908  1 Te 1.94, 2 Co 2.04-2.13
O  0.3471  0.7859  0.4258  1 Mo 1.71
O  0.6529  0.2141  0.4258  1 Mo 1.71
O  0.7265  0.8179  0.8908  1 Te 1.94, 2 Co 2.04-2.13
O  0.7360  0.3198  0.7982  1 Mo 1.86
O  0.7640  0.8198  0.2018  1 Mo 1.86
O  0.7735  0.3179  0.1092  1 Te 1.94, 2 Co 2.04-2.13
O  0.8471  0.7141  0.5742  1 Mo 1.71


Entry 3:
# CoMo2Os

An optimized crystal structure of CoMo2Os (GGA-PBEsol, the Alexandria database).

Computed properties:
- Space-group type: No. 139
- Energy above the lowest structure with this stoichiometry: 0.0 meV per atom
- Energy: -10.84 eV per atom
- Energy of formation: 0.027 eV/atom

Cell: 4.6216 4.6216 4.6216 Å, 131.36 131.36 71.24°
With the nearest neighbours (Å) after each atom.
Element x y z (fractional)
Co  0.0000  0.0000  0.0000  8 Mo 2.67, 4 Os 2.69
Mo  0.2500  0.7500  0.5000  4 Co 2.67, 4 Os 2.67, 4 Mo 2.69
Mo  0.7500  0.2500  0.5000  4 Co 2.67, 4 Os 2.67, 4 Mo 2.69
Os  0.5000  0.5000  0.0000  8 Mo 2.67, 4 Co 2.69


Entry 4:
# CoMo2Os

An optimized crystal structure of CoMo2Os (GGA-PBEsol, the Alexandria database).

Computed properties:
- Space-group type: No. 225
- Energy above the lowest structure with this stoichiometry: 277.8 meV per atom
- Energy: -10.57 eV per atom
- Energy of formation: 0.305 eV/atom

Cell: 4.2928 4.2928 4.2928 Å, 60.00 60.00 60.00°
With the nearest neighbours (Å) after each atom.
Element x y z (fractional)
Co  0.0000  0.0000  0.0000  8 Mo 2.63
Mo  0.2500  0.2500  0.2500  4 Co 2.63, 4 Os 2.63
Mo  0.7500  0.7500  0.7500  4 Co 2.63, 4 Os 2.63
Os  0.5000  0.5000  0.5000  8 Mo 2.63


Entry 5:
# CoMo2Os

An optimized crystal structure of CoMo2Os (GGA-PBEsol, the Alexandria database).

Computed properties:
- Space-group type: No. 99
- Energy above the lowest structure with this stoichiometry: 132.1 meV per atom
- Energy: -10.71 eV per atom
- Energy of formation: 0.159 eV/atom

Cell: 3.1014 3.1014 5.7323 Å, 90.00 90.00 90.00°
With the nearest neighbours (Å) after each atom.
Element x y z (fractional)
Co  0.0000  0.0000  0.0000  4 Mo 2.43, 4 Os 2.68
Mo  0.0000  0.0000  0.4788  4 Os 2.63, 1 Co 2.74, 4 Mo 2.77
Mo  0.5000  0.5000  0.1829  4 Co 2.43, 1 Os 2.59
Os  0.5000  0.5000  0.7317  5 Mo 2.59-2.63, 4 Co 2.68


Entry 6:
# CoMo2Os

An optimized crystal structure of CoMo2Os (GGA-PBEsol, the Alexandria database).

Computed properties:
- Space-group type: No. 99
- Energy above the lowest structure with this stoichiometry: 137.7 meV per atom
- Energy: -10.71 eV per atom
- Energy of formation: 0.165 eV/atom

Cell: 2.6618 2.6618 7.7299 Å, 90.00 90.00 90.00°
With the nearest neighbours (Å) after each atom.
Element x y z (fractional)
Co  0.0000  0.0000  0.0000  4 Os 2.55, 4 Mo 2.60, 4 Co 2.66
Mo  0.0000  0.0000  0.5202  8 Mo 2.66-2.91, 4 Os 2.73
Mo  0.5000  0.5000  0.2327  4 Co 2.60, 8 Mo 2.66-2.91
Os  0.5000  0.5000  0.7769  4 Co 2.55, 4 Os 2.66, 4 Mo 2.73


Entry 7:
# CoMoP

An optimized crystal structure of CoMoP (GGA-PBEsol, the Alexandria database).

Computed properties:
- Space-group type: No. 216
- Energy: -8.68 eV per atom
- Energy of formation: -0.250 eV/atom

Cell: 3.8440 3.8440 3.8440 Å, 60.00 60.00 60.00°
With the nearest neighbours (Å) after each atom.
Element x y z (fractional)
Co  0.0000  0.0000  0.0000  4 P 2.35
Mo  0.5000  0.5000  0.5000  4 P 2.35
P  0.7500  0.7500  0.7500  4 Mo 2.35, 4 Co 2.35


Entry 8:
# CoMoP

An optimized crystal structure of CoMoP (GGA-PBEsol, the Alexandria database).

Computed properties:
- Space-group type: No. 62
- Energy: -9.15 eV per atom
- Energy of formation: -0.721 eV/atom

Cell: 5.7450 3.6913 6.6591 Å, 90.00 90.00 90.00°
With the nearest neighbours (Å) after each atom.
Element x y z (fractional)
Co  0.1414  0.2500  0.0669  4 P 2.18-2.28
Co  0.3586  0.7500  0.5669  4 P 2.18-2.28
Co  0.6414  0.2500  0.4331  4 P 2.18-2.28
Co  0.8586  0.7500  0.9331  4 P 2.18-2.28
Mo  0.0311  0.2500  0.6710  5 P 2.36-2.59
Mo  0.4689  0.7500  0.1710  5 P 2.36-2.59
Mo  0.5311  0.2500  0.8290  5 P 2.36-2.59
Mo  0.9689  0.7500  0.3290  5 P 2.36-2.59
P  0.2330  0.7500  0.8809  4 Co 2.18-2.28, 1 Mo 2.36
P  0.2670  0.2500  0.3809  4 Co 2.18-2.28, 1 Mo 2.36
P  0.7330  0.7500  0.6191  4 Co 2.18-2.28, 1 Mo 2.36
P  0.7670  0.2500  0.1191  4 Co 2.18-2.28, 1 Mo 2.36


Copy entry 4 word for word.
# CoMo2Os

An optimized crystal structure of CoMo2Os (GGA-PBEsol, the Alexandria database).

Computed properties:
- Space-group type: No. 225
- Energy above the lowest structure with this stoichiometry: 277.8 meV per atom
- Energy: -10.57 eV per atom
- Energy of formation: 0.305 eV/atom

Cell: 4.2928 4.2928 4.2928 Å, 60.00 60.00 60.00°
With the nearest neighbours (Å) after each atom.
Element x y z (fractional)
Co  0.0000  0.0000  0.0000  8 Mo 2.63
Mo  0.2500  0.2500  0.2500  4 Co 2.63, 4 Os 2.63
Mo  0.7500  0.7500  0.7500  4 Co 2.63, 4 Os 2.63
Os  0.5000  0.5000  0.5000  8 Mo 2.63


Q: The highest energy belongs to which entry?
A: CoTeMoO6


Q: What is the formula in the sixth record?
A: CoMo2Os